VASP calculation (PBE) on a relaxed structure of BaHgMo2.

```
BaHgMo2
1.0
-6.4866 4.4595 -3.0504
-4.7482 -6.9793 -0.1064
-6.4810 -0.7126 1.0582
Mo Ba Hg
4 2 2
direct
0.0823 0.6250 0.2500
0.8750 0.9177 0.7500
0.3750 0.3323 0.7500
0.6677 0.1250 0.2500
0.2500 0.7500 0.5000
0.5000 0.5000 0.0000
0.0000 0.0000 0.0000
0.7500 0.2500 0.5000
```

Spin magnetization = 0.001 μB per atom
Space group = No. 122
Calculated total energy = -35.52 eV/cell
ρ = 8.7 g/cm3
E_form = 1531 meV per atom